# 1
The following is a PBE calculation of a relaxed structure of Li2PmAsS4, from the Alexandria database.

Computed properties:
As for the spin magnetization: 0.0 μB/f.u. For the theoretical density, the calculation gives 3.8 g/cm³. The space-group type is No. 10. The calculation puts the energy at -4.8617 eV per atom.

Cell: 3.8714 6.7078 6.5482 Å, 109.80 90.00 90.00°
Sites, in units of the cell vectors:
S 0.5000 0.7700 0.7551
Li 0.5000 0.0000 0.5000
S 0.5000 0.2300 0.2449
Pm 0.5000 0.5000 0.0000
S 0.0000 0.7688 0.2528
Li 0.0000 0.5000 0.5000
S 0.0000 0.2312 0.7472
As 0.0000 0.0000 0.0000

***

# 2
The following is a PBE calculation of a relaxed structure of Li2Pr3As3, from the Alexandria database.

Computed properties:
As for the spin magnetization: 0.7 μB/f.u. For the theoretical density, the calculation gives 6.0 g/cm³. For the formation energy, the calculation gives -1.066 eV/atom. The space-group type is No. 63. For the density of states at the Fermi level, the calculation gives 0.49 states/eV/atom. The calculation puts the energy at -5.0804 eV per atom.

Cell: 4.2305 6.2210 14.7885 Å, 90.00 90.00 109.88°
Last column: magnetic moment on the atom in μB.
Sites, in units of the cell vectors:
As 0.3757 0.7513 0.5505  -0.01
Pr 0.3560 0.7120 0.7500  0.12
Li 0.2291 0.4581 0.0837  0.00
Li 0.7709 0.5419 0.5837  0.00
Pr 0.9294 0.8587 0.3911  0.09
Pr 0.0706 0.1413 0.8911  0.09
Pr 0.9294 0.8587 0.1089  0.09
As 0.3757 0.7513 0.9495  -0.01
Pr 0.6440 0.2880 0.2500  0.12
As 0.6243 0.2487 0.4495  -0.01
As 0.3474 0.6949 0.2500  -0.01
As 0.6243 0.2487 0.0505  -0.01
As 0.6526 0.3051 0.7500  -0.01
Pr 0.0706 0.1413 0.6089  0.09
Li 0.2291 0.4581 0.4163  0.00
Li 0.7709 0.5419 0.9163  0.00